Crystalline NaPbS2Cl at its relaxed geometry, computed with PBE-GGA.

Its relative energy among the computed polymorphs is 379 meV per atom. As for the energy relative to the elements, uncorrected: 0.0263 eV/atom.

The space group is P4/mmm (No. 123) and the conventional cell measures 5.229, 5.229 and 5.385 Å, with angles of 90.00, 90.00 and 90.00 degrees. Symmetry generates all atoms from Na at (0.000, 0.000, 0.000), Pb at (0.500, 0.500, 0.500), S at (0.000, 0.500, 0.000) and Cl at (0.000, 0.000, 0.500).

Crystalline Na2CdIn2Bi2 at its relaxed geometry, computed with PBE-GGA.

The calculation puts the energy of formation from the pure elements at -0.088 eV/atom.

The space group is R-3m (No. 166, hexagonal axes) and the conventional cell measures 5.4418, 5.4418 and 23.2291 Å, with angles of 90.00, 90.00 and 120.00 degrees. Symmetry generates all atoms from Na at (0.0000, 0.0000, 0.1371), Cd at (0.0000, 0.0000, 0.0000), In at (0.0000, 0.0000, 0.4279) and Bi at (0.0000, 0.0000, 0.2796).

Crystalline KNa3Ta at its relaxed geometry, computed with PBE-GGA.

Its relative energy among the computed polymorphs is 376 meV per atom. The calculation puts the energy of formation from the pure elements at 1.576 eV/atom.

The space group is Pm-3m (No. 221) and the conventional cell measures 5.674, 5.674 and 5.674 Å, with angles of 90.00, 90.00 and 90.00 degrees. Symmetry generates all atoms from K at (0.000, 0.000, 0.000), Na at (0.000, 0.000, 0.500) and Ta at (0.500, 0.500, 0.500).

Crystalline GaPd4Au5 at its relaxed geometry, computed with PBE-GGA.

The calculation puts the energy of formation from the pure elements at -0.217 eV/atom.

The space group is C2/m (No. 12) and the conventional cell measures 14.617, 4.251 and 5.681 Å, with angles of 90.00, 109.21 and 90.00 degrees. Symmetry generates all atoms from Ga at (0.000, 0.000, 0.000), Pd at (0.086, 0.500, 0.257), Pd at (0.188, 0.000, 0.092), Au at (0.000, 0.000, 0.500), Au at (0.110, 0.500, 0.780) and Au at (0.206, 0.000, 0.601).

Crystalline Np3VPt12 at its relaxed geometry, computed with PBE-GGA.

The calculation puts the energy of formation from the pure elements at -0.544 eV/atom.

The space group is P4/mmm (No. 123) and the conventional cell measures 4.097, 4.097 and 16.434 Å, with angles of 90.00, 90.00 and 90.00 degrees. Symmetry generates all atoms from Np at (0.000, 0.000, 0.000), Np at (0.000, 0.000, 0.257), V at (0.000, 0.000, 0.500), Pt at (0.000, 0.500, 0.129), Pt at (0.000, 0.500, 0.386), Pt at (0.500, 0.500, 0.000), Pt at (0.500, 0.500, 0.258) and Pt at (0.500, 0.500, 0.500).

Crystalline LaW at its relaxed geometry, computed with PBE-GGA.

Its relative energy among the computed polymorphs is 327 meV per atom. The calculation puts the energy of formation from the pure elements at 0.672 eV/atom.

The space group is P-6m2 (No. 187) and the conventional cell measures 3.3081, 3.3081 and 15.3851 Å, with angles of 90.00, 90.00 and 120.00 degrees. Symmetry generates all atoms from La at (0.0000, 0.0000, 0.0000), La at (0.3333, 0.6667, 0.2134), W at (0.0000, 0.0000, 0.3808) and W at (0.3333, 0.6667, 0.5000).

| no. | uncorrected energy (eV/cell) |
| --- | --- |
| 1 | -15.00 |
| 2 | -52.22 |
| 3 | -9.03 |
| 4 | -84.71 |
| 5 | -129.14 |
| 6 | -49.61 |